Compound: Na3OsPd
Source: the Alexandria database
Functional: PBE
Structure: relaxed

```
5
Lattice="5.305 0.000 0.000 0.000 5.305 0.000 0.000 0.000 5.305" Properties=species:S:1:pos:R:3 pbc="T T T"
Na 0.000 0.000 2.652
Na 0.000 2.652 0.000
Na 2.652 0.000 0.000
Os 2.652 2.652 2.652
Pd 0.000 0.000 0.000
```

Results
M_tot ... 3.00 μB per formula unit
ΔE_f ... 1329 meV per atom
E above lowest polymorph ... 0.00 eV/f.u.
DOS(E_F) ... 1.30 states/eV/atom


Compound: BeZnIr2Se
Source: the Alexandria database
Functional: PBE
Structure: relaxed

```
5
Lattice="4.620 0.000 0.000 0.000 4.620 0.000 0.000 0.000 4.502" Properties=species:S:1:pos:R:3 pbc="T T T"
Be 0.000 0.000 0.000
Zn 2.310 2.310 2.251
Ir 0.000 2.310 2.251
Ir 2.310 0.000 2.251
Se 2.310 2.310 0.000
```

Results
M_tot ... 0.00 μB per formula unit
Formation energy from raw total energies ... 7.9 eV/f.u.
DOS(E_F) ... 1.26 states/eV/atom


Compound: PrSmCuSe4
Source: the Alexandria database
Functional: PBE
Structure: relaxed

```
14
Lattice="7.161 0.000 0.000 0.000 5.880 0.000 -2.427 0.000 7.988" Properties=species:S:1:pos:R:3 pbc="T T T"
Pr 0.670 1.470 3.465
Pr 4.064 4.410 4.523
Sm -0.628 1.470 7.452
Sm 5.362 4.410 0.535
Cu 1.259 4.410 1.473
Cu 3.474 1.470 6.515
Se -0.432 4.410 3.155
Se -1.629 4.410 7.117
Se 1.659 2.994 6.005
Se 1.659 5.826 6.005
Se 3.074 0.054 1.982
Se 3.074 2.886 1.982
Se 6.363 1.470 0.870
Se 5.166 1.470 4.832
```

Results
M_tot ... 0.00 μB per formula unit
Formation energy from raw total energies ... -9.7 eV/f.u.
DOS(E_F) ... 0.21 states/eV/atom


Compound: Tb3AgPt
Source: the Alexandria database
Functional: PBE
Structure: relaxed

```
10
Lattice="5.603 0.000 0.000 -2.492 6.006 0.000 -1.725 -2.258 7.743" Properties=species:S:1:pos:R:3 pbc="T T T"
Tb -0.709 0.495 2.411
Tb -0.715 1.030 5.779
Tb -0.555 4.651 0.944
Tb 1.942 -0.902 6.799
Tb 2.101 2.719 1.964
Tb 2.096 3.254 5.332
Ag -0.746 3.448 3.776
Ag 2.133 0.300 3.967
Pt -0.863 -1.064 7.680
Pt 2.249 4.813 0.063
```

Results
M_tot ... 0.00 μB per formula unit
ΔE_f ... -591 meV per atom
DOS(E_F) ... 0.81 states/eV/atom


Compound: RbGe3Ir
Source: the Alexandria database
Functional: PBE
Structure: relaxed

```
5
Lattice="5.281 0.000 0.000 0.000 5.281 0.000 0.000 0.000 5.281" Properties=species:S:1:pos:R:3 pbc="T T T"
Rb 0.000 0.000 0.000
Ge 0.000 0.000 2.640
Ge 0.000 2.640 0.000
Ge 2.640 0.000 0.000
Ir 2.640 2.640 2.640
```

Results
M_tot ... 0.39 μB per formula unit
ΔE_f ... 2519 meV per atom
E above lowest polymorph ... 11.01 eV/f.u.
DOS(E_F) ... 1.34 states/eV/atom


Compound: SnBRuRh
Source: the Alexandria database
Functional: PBE
Structure: relaxed

```
4
Lattice="3.610 0.000 0.000 0.000 4.153 0.000 0.000 0.000 4.157" Properties=species:S:1:pos:R:3 pbc="T T T"
Sn 0.000 0.000 0.000
B 1.805 2.076 2.079
Ru 1.805 2.076 0.000
Rh 1.805 0.000 2.079
```

Results
M_tot ... 0.00 μB per formula unit
ΔE_f ... -118 meV per atom
E above lowest polymorph ... 0.38 eV/f.u.
DOS(E_F) ... 0.22 states/eV/atom


Compound: KTlHgCl4
Source: the Alexandria database
Functional: PBE
Structure: relaxed

```
14
Lattice="7.558 0.000 0.000 0.000 7.477 0.000 -2.661 0.000 8.343" Properties=species:S:1:pos:R:3 pbc="T T T"
K 1.420 1.869 0.474
K 3.477 5.608 7.869
Tl 0.348 1.869 4.675
Tl 4.549 5.608 3.668
Hg -0.213 5.608 6.740
Hg 5.110 1.869 1.603
Cl -1.908 0.010 6.260
Cl -1.908 3.728 6.260
Cl 1.758 5.608 5.204
Cl 3.193 5.608 0.804
Cl 1.704 1.869 7.540
Cl 3.139 1.869 3.139
Cl 6.805 3.749 2.083
Cl 6.805 7.467 2.083
```

Results
M_tot ... 0.00 μB per formula unit
Formation energy from raw total energies ... -7.7 eV/f.u.
DOS(E_F) ... 0.00 states/eV/atom


Compound: Sc3NiIr2
Source: the Alexandria database
Functional: PBE
Structure: relaxed

```
6
Lattice="2.300 -6.896 0.000 2.300 6.896 0.000 0.000 0.000 3.148" Properties=species:S:1:pos:R:3 pbc="T T T"
Sc 0.000 0.000 0.000
Sc 2.300 2.281 0.000
Sc 2.300 -2.281 0.000
Ni 2.300 0.000 1.574
Ir 2.300 4.607 1.574
Ir 2.300 -4.607 1.574
```

Results
M_tot ... 0.00 μB per formula unit
ΔE_f ... -858 meV per atom
DOS(E_F) ... 0.53 states/eV/atom